# PuV2SiO8

Crystalline PuV2SiO8 at its relaxed geometry (PBE with a Hubbard U, the Alexandria database).

Results
- Total magnetization: 6.0 μB/f.u.
- E_tot: -99.02 eV for the cell shown
- Fermi-level density of states: 0.78 states/eV per atom
- Crystal system: trigonal
- ρ: 5121 kg/m³

Unit cell a=5.6761 b=5.6761 c=5.8333 alpha=90.00 beta=90.00 gamma=120.00
Space group P-3m1 (No. 164)
Unique sites:
1 Pu 0.0000 0.0000 0.0000 [1 per cell]
2 V 0.3333 0.6667 0.5999 [2 per cell]
3 Si 0.0000 0.0000 0.5000 [1 per cell]
4 O 0.1493 0.2986 0.6876 [6 per cell]
5 O 0.3333 0.6667 0.3207 [2 per cell]